# 1
DFT (GGA-PBE) results for a relaxed structure of RbScSeF2.

abc: 4.4437 4.4437 5.2276
angles: 90.00 90.00 90.00
Closest atoms and distances in Å follow each position.
Space group P4/mmm (No. 123)
Inequivalent atoms, fractional coordinates:
Rb (0.0000, 0.0000, 0.0000)  4 Se 3.14, 8 F 3.43
Sc (0.5000, 0.5000, 0.5000)  4 F 2.22
Se (0.5000, 0.5000, 0.0000)  2 Sc 2.61
F (0.0000, 0.5000, 0.5000)  2 Sc 2.22

Values from the calculation:
total energy = -5.54 eV/atom
E_form (uncorrected) = -2.63 eV/atom

# 2
DFT (GGA-PBE) results for a relaxed structure of Rb2ScSiF6.

abc: 5.9257 5.9257 11.0876
angles: 90.00 90.00 90.00
Closest atoms and distances in Å follow each position.
Space group I4/mmm (No. 139)
Inequivalent atoms, fractional coordinates:
Rb (0.0000, 0.5000, 0.2500)  4 F 3.06
Sc (0.0000, 0.0000, 0.0000)  6 F 2.01-2.05
Si (0.0000, 0.0000, 0.5000)  4 F 2.14
F (0.0000, 0.0000, 0.1817)  1 Sc 2.01
F (0.2441, 0.2441, 0.0000)  1 Sc 2.05, 1 Si 2.14

Values from the calculation:
total energy = -5.29 eV/atom
E_form (uncorrected) = -2.80 eV/atom

# 3
DFT (GGA-PBE) results for a relaxed structure of Rb2ScSnF6.

abc: 6.2527 6.2527 10.9885
angles: 90.00 90.00 90.00
Closest atoms and distances in Å follow each position.
Space group I4/mmm (No. 139)
Inequivalent atoms, fractional coordinates:
Rb (0.0000, 0.5000, 0.2500)  12 F 3.21-3.53
Sc (0.0000, 0.0000, 0.0000)  6 F 2.02-2.04
Sn (0.0000, 0.0000, 0.5000)  4 F 2.38
F (0.0000, 0.0000, 0.1837)  1 Sc 2.02
F (0.2308, 0.2308, 0.0000)  1 Sc 2.04

Values from the calculation:
total energy = -5.25 eV/atom
E_form (uncorrected) = -2.90 eV/atom